[1]
This record from the Alexandria database describes a geometry-optimized CeScBi2 structure. The functional is PBE.

Results
For the energy of formation from the pure elements, the calculation gives -2.118 eV/f.u. Its size of the total moment is 1.5 μB/cell. As for the total energy: -22.145 eV for the cell shown. The volume comes out at 112.8 Å³ per cell. Its energy relative to the lowest polymorph listed for this composition is 189 meV per atom.

Lattice parameters (Å, degrees): 5.279 5.279 4.049 90.00 90.00 90.00
Space group P4/mmm (No. 123)
One atom of each set of equivalent atoms:
Ce 0.000 0.000 0.000
Sc 0.500 0.500 0.000
Bi 0.000 0.500 0.500

=====

[2]
This record from the Alexandria database describes a geometry-optimized Ce2ScBi3 structure. The functional is PBE.

Results
For the energy of formation from the pure elements, the calculation gives -3.100 eV/f.u. Its size of the total moment is 4.0 μB/cell. As for the total energy: -65.885 eV for the cell shown. The volume comes out at 392.8 Å³ per cell. Its energy relative to the lowest polymorph listed for this composition is 212 meV per atom.

Lattice parameters (Å, degrees): 4.106 5.487 17.431 90.00 90.00 90.00
Space group Immm (No. 71)
One atom of each set of equivalent atoms:
Ce 0.000 0.000 0.147
Sc 0.000 0.000 0.500
Bi 0.000 0.000 0.330
Bi 0.000 0.500 0.500

=====

[3]
This record from the Alexandria database describes a geometry-optimized CeScBi2 structure. The functional is PBE.

Results
For the energy of formation from the pure elements, the calculation gives -2.875 eV/f.u. Its size of the total moment is 2.6 μB/cell. As for the total energy: -68.706 eV for the cell shown. The volume comes out at 369.6 Å³ per cell. Its energy relative to the lowest polymorph listed for this composition is 0 meV per atom.

Lattice parameters (Å, degrees): 4.4446 4.4446 21.6065 90.00 90.00 120.00
Space group R-3m (No. 166, hexagonal axes)
One atom of each set of equivalent atoms:
Ce 0.0000 0.0000 0.0000
Sc 0.0000 0.0000 0.5000
Bi 0.0000 0.0000 0.2429

=====

[4]
This record from the Alexandria database describes a geometry-optimized CeSc2Bi2 structure. The functional is PBE.

Results
For the energy of formation from the pure elements, the calculation gives -1.782 eV/f.u. Its size of the total moment is 7.2 μB/cell. As for the total energy: -112.565 eV for the cell shown. The volume comes out at 604.4 Å³ per cell.

Lattice parameters (Å, degrees): 9.944 12.047 6.090 90.00 124.07 90.00
Space group C2/c (No. 15)
One atom of each set of equivalent atoms:
Ce 0.000 0.097 0.250
Sc 0.179 0.411 0.975
Bi 0.000 0.188 0.750
Bi 0.000 0.373 0.250

=====

[5]
This record from the Alexandria database describes a geometry-optimized Ce2ScBi structure. The functional is PBE.

Results
For the energy of formation from the pure elements, the calculation gives -1.281 eV/f.u. Its size of the total moment is 1.7 μB/cell. As for the total energy: -46.722 eV for the cell shown. The volume comes out at 210.6 Å³ per cell. Its energy relative to the lowest polymorph listed for this composition is 58 meV per atom.

Lattice parameters (Å, degrees): 5.850 5.412 6.680 90.00 95.28 90.00
Space group P2_1/m (No. 11)
One atom of each set of equivalent atoms:
Ce 0.107 0.250 0.456
Ce 0.328 0.750 0.712
Sc 0.158 0.250 0.975
Bi 0.342 0.750 0.214

=====

[6]
This record from the Alexandria database describes a geometry-optimized CeSc2Bi structure. The functional is PBE.

Results
For the energy of formation from the pure elements, the calculation gives -1.053 eV/f.u. Its size of the total moment is 0.3 μB/cell. As for the total energy: -23.531 eV for the cell shown. The volume comes out at 101.9 Å³ per cell. Its energy relative to the lowest polymorph listed for this composition is 53 meV per atom.

Lattice parameters (Å, degrees): 3.807 3.807 7.030 90.00 90.00 90.00
Space group P4/mmm (No. 123)
One atom of each set of equivalent atoms:
Ce 0.000 0.000 0.000
Sc 0.500 0.500 0.271
Bi 0.000 0.000 0.500

=====

[7]
This record from the Alexandria database describes a geometry-optimized CeScBiSe structure. The functional is PBE.

Results
Its size of the total moment is 4.9 μB/cell. As for the total energy: -72.040 eV for the cell shown. The volume comes out at 328.3 Å³ per cell.

Lattice parameters (Å, degrees): 4.0949 4.0949 22.6032 90.00 90.00 120.00
Space group R3m (No. 160, hexagonal axes)
One atom of each set of equivalent atoms:
Ce 0.0000 0.0000 0.0000
Sc 0.0000 0.0000 0.8408
Bi 0.0000 0.0000 0.4293
Se 0.0000 0.0000 0.2448

=====

[8]
This record from the Alexandria database describes a geometry-optimized Ce2SmScBi4 structure. The functional is PBE.

Results
For the energy of formation from the pure elements, the calculation gives -6.208 eV/f.u. Its size of the total moment is 1.7 μB/cell. As for the total energy: -44.650 eV for the cell shown. The volume comes out at 259.6 Å³ per cell.

Lattice parameters (Å, degrees): 7.811 4.513 7.812 90.00 109.51 90.00
Space group P2/m (No. 10)
One atom of each set of equivalent atoms:
Ce 0.000 0.000 0.000
Ce 0.000 0.500 0.500
Sm 0.500 0.000 0.500
Sc 0.500 0.500 0.000
Bi 0.258 0.500 0.243
Bi 0.264 0.000 0.764

=====

Repeat the fifth record exactly.
This record from the Alexandria database describes a geometry-optimized Ce2ScBi structure. The functional is PBE.

Results
For the energy of formation from the pure elements, the calculation gives -1.281 eV/f.u. Its size of the total moment is 1.7 μB/cell. As for the total energy: -46.722 eV for the cell shown. The volume comes out at 210.6 Å³ per cell. Its energy relative to the lowest polymorph listed for this composition is 58 meV per atom.

Lattice parameters (Å, degrees): 5.850 5.412 6.680 90.00 95.28 90.00
Space group P2_1/m (No. 11)
One atom of each set of equivalent atoms:
Ce 0.107 0.250 0.456
Ce 0.328 0.750 0.712
Sc 0.158 0.250 0.975
Bi 0.342 0.750 0.214